# 1
Density functional theory data (PBE) for crystalline Mg14BC at its relaxed geometry. Values from VASP.

```
&SYSTEM
  ibrav = 0, nat = 16, ntyp = 3
/
ATOMIC_SPECIES
Mg 24.30 Mg.upf
B 10.81 B.upf
C 12.01 C.upf
CELL_PARAMETERS angstrom
9.696 0.000 0.000
0.000 3.185 5.420
0.000 -3.185 5.420
ATOMIC_POSITIONS crystal
Mg 0.000 0.000 0.000
Mg 0.000 0.001 0.518
Mg 0.000 0.496 0.496
Mg 0.000 0.518 0.001
Mg 0.241 0.180 0.180
Mg 0.257 0.666 0.666
Mg 0.342 0.169 0.686
Mg 0.342 0.686 0.169
Mg 0.500 0.405 0.940
Mg 0.500 0.940 0.405
Mg 0.658 0.169 0.686
Mg 0.658 0.686 0.169
Mg 0.743 0.666 0.666
Mg 0.759 0.180 0.180
B 0.500 0.523 0.523
C 0.500 0.014 0.014
```

Values from the calculation:
The calculation puts the energy above the lowest structure with this stoichiometry at 0 meV per atom. The calculation puts the formation energy at 0.27 eV per atom. The density comes out at 1.80 Mg/m³. The calculation puts the total magnetization at 0.00 μB/f.u. The crystal system is orthorhombic.

***

# 2
Density functional theory data (PBE) for crystalline MgB12C3 at its relaxed geometry. Values from VASP.

```
&SYSTEM
  ibrav = 0, nat = 32, ntyp = 3
/
ATOMIC_SPECIES
Mg 24.30 Mg.upf
B 10.81 B.upf
C 12.01 C.upf
CELL_PARAMETERS angstrom
6.743 0.000 0.000
-1.003 6.670 0.000
-2.572 -3.053 7.012
ATOMIC_POSITIONS crystal
Mg 0.000 0.000 0.000
Mg 0.446 0.555 0.498
B 0.028 0.418 0.950
B 0.033 0.666 0.708
B 0.089 0.910 0.412
B 0.111 0.587 0.207
B 0.164 0.109 0.670
B 0.201 0.937 0.792
B 0.207 0.892 0.234
B 0.217 0.362 0.838
B 0.332 0.758 0.731
B 0.357 0.644 0.911
B 0.381 0.756 0.291
B 0.400 0.011 0.493
B 0.454 0.954 0.991
B 0.481 0.463 0.993
B 0.554 0.721 0.168
B 0.616 0.249 0.591
B 0.691 0.170 0.090
B 0.726 0.309 0.824
B 0.752 0.281 0.324
B 0.774 0.438 0.551
B 0.805 0.771 0.337
B 0.861 0.583 0.449
B 0.880 0.328 0.048
B 0.908 0.035 0.495
C 0.094 0.548 0.845
C 0.304 0.931 0.626
C 0.376 0.859 0.126
C 0.634 0.326 0.973
C 0.772 0.190 0.473
C 0.992 0.648 0.344
```

Values from the calculation:
The calculation puts the formation energy at 0.57 eV per atom. The density comes out at 2.00 Mg/m³. The calculation puts the total magnetization at 0.00 μB/f.u. The crystal system is triclinic.

***

# 3
Density functional theory data (PBE) for crystalline NaMgB2C at its relaxed geometry. Values from VASP.

```
&SYSTEM
  ibrav = 0, nat = 5, ntyp = 4
/
ATOMIC_SPECIES
Na 22.99 Na.upf
Mg 24.30 Mg.upf
B 10.81 B.upf
C 12.01 C.upf
CELL_PARAMETERS angstrom
3.757 0.000 0.000
0.000 3.757 0.000
0.000 0.000 4.148
ATOMIC_POSITIONS crystal
Na 0.000 0.000 0.000
Mg 0.500 0.500 0.000
B 0.000 0.500 0.500
B 0.500 0.000 0.500
C 0.500 0.500 0.500
```

Values from the calculation:
The calculation puts the formation energy at 1.46 eV per atom. The density comes out at 2.30 Mg/m³. The calculation puts the total magnetization at 0.00 μB/f.u. The crystal system is tetragonal.

***

# 4
Density functional theory data (PBE) for crystalline Mg6BCO8 at its relaxed geometry. Values from VASP.

```
&SYSTEM
  ibrav = 0, nat = 16, ntyp = 4
/
ATOMIC_SPECIES
Mg 24.30 Mg.upf
B 10.81 B.upf
C 12.01 C.upf
O 16.00 O.upf
CELL_PARAMETERS angstrom
4.190 0.000 0.000
0.000 4.190 0.000
0.000 0.000 8.398
ATOMIC_POSITIONS crystal
Mg 0.000 0.000 0.000
Mg 0.000 0.500 0.262
Mg 0.000 0.500 0.738
Mg 0.500 0.000 0.262
Mg 0.500 0.000 0.738
Mg 0.500 0.500 0.000
B 0.000 0.000 0.500
C 0.500 0.500 0.500
O 0.000 0.000 0.271
O 0.000 0.000 0.729
O 0.000 0.500 0.000
O 0.000 0.500 0.500
O 0.500 0.000 0.000
O 0.500 0.000 0.500
O 0.500 0.500 0.247
O 0.500 0.500 0.753
```

Values from the calculation:
The formation energy without anion corrections comes out at -1.6311 eV per atom. The calculation puts the energy above the lowest structure with this stoichiometry at 227 meV per atom. The density comes out at 3.34 Mg/m³. The calculation puts the total magnetization at 0.29 μB/f.u. The crystal system is tetragonal.

***

# 5
Density functional theory data (PBE) for crystalline Mg6BCO8 at its relaxed geometry. Values from VASP.

```
&SYSTEM
  ibrav = 0, nat = 16, ntyp = 4
/
ATOMIC_SPECIES
Mg 24.30 Mg.upf
B 10.81 B.upf
C 12.01 C.upf
O 16.00 O.upf
CELL_PARAMETERS angstrom
4.234 0.000 0.000
0.000 4.234 0.000
0.000 0.000 8.316
ATOMIC_POSITIONS crystal
Mg 0.000 0.000 0.000
Mg 0.000 0.000 0.500
Mg 0.000 0.500 0.243
Mg 0.000 0.500 0.757
Mg 0.500 0.000 0.243
Mg 0.500 0.000 0.757
B 0.500 0.500 0.000
C 0.500 0.500 0.500
O 0.000 0.000 0.253
O 0.000 0.000 0.747
O 0.000 0.500 0.000
O 0.000 0.500 0.500
O 0.500 0.000 0.000
O 0.500 0.000 0.500
O 0.500 0.500 0.171
O 0.500 0.500 0.829
```

Values from the calculation:
The formation energy without anion corrections comes out at -1.8586 eV per atom. The calculation puts the energy above the lowest structure with this stoichiometry at 0 meV per atom. The density comes out at 3.30 Mg/m³. The calculation puts the total magnetization at 1.00 μB/f.u. The crystal system is tetragonal.

***

# 6
Density functional theory data (PBE) for crystalline MgB2RhC at its relaxed geometry. Values from VASP.

```
&SYSTEM
  ibrav = 0, nat = 5, ntyp = 4
/
ATOMIC_SPECIES
Mg 24.30 Mg.upf
B 10.81 B.upf
Rh 102.91 Rh.upf
C 12.01 C.upf
CELL_PARAMETERS angstrom
3.454 0.000 0.000
0.000 3.454 0.000
0.000 0.000 4.223
ATOMIC_POSITIONS crystal
Mg 0.000 0.000 0.000
B 0.000 0.500 0.500
B 0.500 0.000 0.500
Rh 0.500 0.500 0.000
C 0.000 0.000 0.500
```

Values from the calculation:
The calculation puts the formation energy at 1.14 eV per atom. The density comes out at 5.30 Mg/m³. The calculation puts the total magnetization at 0.00 μB/f.u. The crystal system is tetragonal.

***

# 7
Density functional theory data (PBE) for crystalline MgB2CS at its relaxed geometry. Values from VASP.

```
&SYSTEM
  ibrav = 0, nat = 5, ntyp = 4
/
ATOMIC_SPECIES
Mg 24.30 Mg.upf
B 10.81 B.upf
C 12.01 C.upf
S 32.06 S.upf
CELL_PARAMETERS angstrom
4.447 0.000 0.000
0.000 4.447 0.000
0.000 0.000 4.085
ATOMIC_POSITIONS crystal
Mg 0.000 0.000 0.000
B 0.000 0.500 0.000
B 0.500 0.000 0.000
C 0.000 0.000 0.500
S 0.500 0.500 0.500
```

Values from the calculation:
The formation energy without anion corrections comes out at 2.6936 eV per atom. The density comes out at 1.85 Mg/m³. The calculation puts the total magnetization at 0.00 μB/f.u. The crystal system is tetragonal.

***

# 8
Density functional theory data (PBE) for crystalline Mg2BCSe at its relaxed geometry. Values from VASP.

```
&SYSTEM
  ibrav = 0, nat = 5, ntyp = 4
/
ATOMIC_SPECIES
Mg 24.30 Mg.upf
B 10.81 B.upf
C 12.01 C.upf
Se 78.96 Se.upf
CELL_PARAMETERS angstrom
4.977 0.000 0.000
0.000 4.977 0.000
0.000 0.000 3.952
ATOMIC_POSITIONS crystal
Mg 0.000 0.500 0.000
Mg 0.500 0.000 0.000
B 0.000 0.000 0.500
C 0.500 0.500 0.500
Se 0.500 0.500 0.000
```

Values from the calculation:
The formation energy without anion corrections comes out at 1.6547 eV per atom. The density comes out at 2.55 Mg/m³. The calculation puts the total magnetization at 0.00 μB/f.u. The crystal system is tetragonal.

***

# 9
Density functional theory data (PBE) for crystalline MgSiB2C at its relaxed geometry. Values from VASP.

```
&SYSTEM
  ibrav = 0, nat = 5, ntyp = 4
/
ATOMIC_SPECIES
Mg 24.30 Mg.upf
Si 28.09 Si.upf
B 10.81 B.upf
C 12.01 C.upf
CELL_PARAMETERS angstrom
4.201 0.000 0.000
0.000 4.201 0.000
0.000 0.000 5.038
ATOMIC_POSITIONS crystal
Mg 0.000 0.000 0.000
Si 0.000 0.000 0.500
B 0.000 0.500 0.000
B 0.500 0.000 0.000
C 0.500 0.500 0.500
```

Values from the calculation:
The formation energy without anion corrections comes out at 3.1003 eV per atom. The calculation puts the energy above the lowest structure with this stoichiometry at 1078 meV per atom. The density comes out at 1.61 Mg/m³. The calculation puts the total magnetization at 0.92 μB/f.u. The crystal system is tetragonal.

***

# 10
Density functional theory data (PBE) for crystalline Mg3Si9B36C at its relaxed geometry. Values from VASP.

```
&SYSTEM
  ibrav = 0, nat = 49, ntyp = 4
/
ATOMIC_SPECIES
Mg 24.30 Mg.upf
Si 28.09 Si.upf
B 10.81 B.upf
C 12.01 C.upf
CELL_PARAMETERS angstrom
5.054 2.918 5.477
-5.054 2.918 5.477
0.000 -5.835 5.477
ATOMIC_POSITIONS crystal
Mg 0.168 0.168 0.664
Mg 0.168 0.664 0.168
Mg 0.664 0.168 0.168
Si 0.008 0.401 0.401
Si 0.088 0.088 0.088
Si 0.232 0.232 0.232
Si 0.321 0.924 0.924
Si 0.401 0.008 0.401
Si 0.401 0.401 0.008
Si 0.708 0.708 0.708
Si 0.924 0.321 0.924
Si 0.924 0.924 0.321
B 0.039 0.682 0.863
B 0.039 0.863 0.682
B 0.083 0.484 0.771
B 0.083 0.771 0.484
B 0.107 0.537 0.537
B 0.229 0.784 0.784
B 0.253 0.554 0.837
B 0.253 0.837 0.554
B 0.291 0.460 0.640
B 0.291 0.640 0.460
B 0.388 0.645 0.645
B 0.460 0.291 0.640
B 0.460 0.640 0.291
B 0.484 0.083 0.771
B 0.484 0.771 0.083
B 0.537 0.107 0.537
B 0.537 0.537 0.107
B 0.554 0.253 0.837
B 0.554 0.837 0.253
B 0.640 0.291 0.460
B 0.640 0.460 0.291
B 0.645 0.388 0.645
B 0.645 0.645 0.388
B 0.669 0.669 0.960
B 0.669 0.960 0.669
B 0.682 0.039 0.863
B 0.682 0.863 0.039
B 0.771 0.083 0.484
B 0.771 0.484 0.083
B 0.784 0.229 0.784
B 0.784 0.784 0.229
B 0.837 0.253 0.554
B 0.837 0.554 0.253
B 0.863 0.039 0.682
B 0.863 0.682 0.039
B 0.960 0.669 0.669
C 0.596 0.596 0.596
```

Values from the calculation:
The formation energy without anion corrections comes out at -0.1193 eV per atom. The density comes out at 2.49 Mg/m³. The calculation puts the total magnetization at 0.00 μB/f.u. The crystal system is trigonal.